a) # PBEsol ZnCrTc, optimized geometry
data_ZnCrTc
_chemical_formula_sum 'Zn1 Cr1 Tc1'
_cell_length_a 3.002
_cell_length_b 3.002
_cell_length_c 4.805
_cell_angle_alpha 108.20
_cell_angle_beta 108.20
_cell_angle_gamma 90.00
_space_group_name_H-M_alt 'P 1'
_space_group_IT_number 1
loop_
_space_group_symop_operation_xyz
'x,y,z'
loop_
_atom_site_label
_atom_site_type_symbol
_atom_site_fract_x
_atom_site_fract_y
_atom_site_fract_z
Cr1 Cr 0.012 0.012 0.024
Zn1 Zn 0.337 0.337 0.674
Tc1 Tc 0.651 0.651 0.302
# Crystal system ... tetragonal



b) # PBEsol ZnCrTc, optimized geometry
data_ZnCrTc
_chemical_formula_sum 'Zn1 Cr1 Tc1'
_cell_length_a 2.539
_cell_length_b 4.179
_cell_length_c 4.179
_cell_angle_alpha 120.00
_cell_angle_beta 90.00
_cell_angle_gamma 90.00
_space_group_name_H-M_alt 'P 1'
_space_group_IT_number 1
loop_
_space_group_symop_operation_xyz
'x,y,z'
loop_
_atom_site_label
_atom_site_type_symbol
_atom_site_fract_x
_atom_site_fract_y
_atom_site_fract_z
Cr1 Cr 0.964 0.000 0.000
Tc1 Tc 0.724 0.333 0.667
Zn1 Zn 0.312 0.667 0.333
# Crystal system ... trigonal



a) takes first place; second place is 0.042 eV/atom up.



a) # PBEsol Tl2CrTe, optimized geometry
data_Tl2CrTe
_chemical_formula_sum 'Tl2 Cr1 Te1'
_cell_length_a 3.468
_cell_length_b 4.631
_cell_length_c 7.011
_cell_angle_alpha 109.29
_cell_angle_beta 104.32
_cell_angle_gamma 90.00
_space_group_name_H-M_alt 'P 1'
_space_group_IT_number 1
loop_
_space_group_symop_operation_xyz
'x,y,z'
loop_
_atom_site_label
_atom_site_type_symbol
_atom_site_fract_x
_atom_site_fract_y
_atom_site_fract_z
Cr1 Cr 0.524 0.524 0.047
Te1 Te 0.180 0.680 0.361
Tl1 Tl 0.988 0.988 0.975
Tl2 Tl 0.808 0.308 0.616
# Crystal system ... orthorhombic



b) # PBEsol Tl2CrTe, optimized geometry
data_Tl2CrTe
_chemical_formula_sum 'Tl2 Cr1 Te1'
_cell_length_a 3.517
_cell_length_b 3.517
_cell_length_c 8.073
_cell_angle_alpha 90.00
_cell_angle_beta 90.00
_cell_angle_gamma 90.00
_space_group_name_H-M_alt 'P 1'
_space_group_IT_number 1
loop_
_space_group_symop_operation_xyz
'x,y,z'
loop_
_atom_site_label
_atom_site_type_symbol
_atom_site_fract_x
_atom_site_fract_y
_atom_site_fract_z
Cr1 Cr 0.000 0.000 0.534
Te1 Te 0.500 0.500 0.682
Tl1 Tl 0.000 0.000 0.000
Tl2 Tl 0.500 0.500 0.284
# Crystal system ... tetragonal



b) takes first place; second place is 0.096 eV/atom up.



a) # PBEsol YCr2Te, optimized geometry
data_YCr2Te
_chemical_formula_sum 'Y1 Cr2 Te1'
_cell_length_a 4.349
_cell_length_b 4.350
_cell_length_c 3.829
_cell_angle_alpha 90.00
_cell_angle_beta 90.00
_cell_angle_gamma 90.00
_space_group_name_H-M_alt 'P 1'
_space_group_IT_number 1
loop_
_space_group_symop_operation_xyz
'x,y,z'
loop_
_atom_site_label
_atom_site_type_symbol
_atom_site_fract_x
_atom_site_fract_y
_atom_site_fract_z
Cr1 Cr 0.000 0.000 0.000
Cr2 Cr 0.500 0.500 0.000
Te1 Te 0.500 0.000 0.500
Y1 Y 0.000 0.500 0.500
# Crystal system ... tetragonal



b) # PBEsol YCr2Te, optimized geometry
data_YCr2Te
_chemical_formula_sum 'Y1 Cr2 Te1'
_cell_length_a 4.893
_cell_length_b 4.893
_cell_length_c 4.893
_cell_angle_alpha 60.00
_cell_angle_beta 60.00
_cell_angle_gamma 60.00
_space_group_name_H-M_alt 'P 1'
_space_group_IT_number 1
loop_
_space_group_symop_operation_xyz
'x,y,z'
loop_
_atom_site_label
_atom_site_type_symbol
_atom_site_fract_x
_atom_site_fract_y
_atom_site_fract_z
Cr1 Cr 0.000 0.000 0.000
Cr2 Cr 0.750 0.750 0.750
Te1 Te 0.500 0.500 0.500
Y1 Y 0.250 0.250 0.250
# Crystal system ... cubic



a) takes first place; second place is 0.093 eV/atom up.



a) # PBEsol TiCr2, optimized geometry
data_TiCr2
_chemical_formula_sum 'Ti4 Cr8'
_cell_length_a 4.824
_cell_length_b 4.824
_cell_length_c 7.710
_cell_angle_alpha 90.00
_cell_angle_beta 90.00
_cell_angle_gamma 120.00
_space_group_name_H-M_alt 'P 1'
_space_group_IT_number 1
loop_
_space_group_symop_operation_xyz
'x,y,z'
loop_
_atom_site_label
_atom_site_type_symbol
_atom_site_fract_x
_atom_site_fract_y
_atom_site_fract_z
Ti1 Ti 0.333 0.667 0.060
Ti2 Ti 0.667 0.333 0.940
Ti3 Ti 0.667 0.333 0.560
Ti4 Ti 0.333 0.667 0.440
Cr1 Cr 0.000 0.000 0.000
Cr2 Cr 0.000 0.000 0.500
Cr3 Cr 0.830 0.170 0.250
Cr4 Cr 0.340 0.170 0.250
Cr5 Cr 0.830 0.660 0.250
Cr6 Cr 0.170 0.830 0.750
Cr7 Cr 0.660 0.830 0.750
Cr8 Cr 0.170 0.340 0.750
# Crystal system ... hexagonal



b) # PBEsol TiCr2, optimized geometry
data_TiCr2
_chemical_formula_sum 'Ti2 Cr4'
_cell_length_a 4.789
_cell_length_b 4.789
_cell_length_c 4.789
_cell_angle_alpha 60.00
_cell_angle_beta 60.00
_cell_angle_gamma 60.00
_space_group_name_H-M_alt 'P 1'
_space_group_IT_number 1
loop_
_space_group_symop_operation_xyz
'x,y,z'
loop_
_atom_site_label
_atom_site_type_symbol
_atom_site_fract_x
_atom_site_fract_y
_atom_site_fract_z
Cr1 Cr 0.625 0.625 0.625
Cr2 Cr 0.125 0.625 0.625
Cr3 Cr 0.625 0.125 0.625
Cr4 Cr 0.625 0.625 0.125
Ti1 Ti 0.000 0.000 0.000
Ti2 Ti 0.250 0.250 0.250
# Crystal system ... cubic



b) takes first place; second place is 0.019 eV/atom up.



a) # PBEsol Tl2ZnCr, optimized geometry
data_Tl2ZnCr
_chemical_formula_sum 'Tl2 Zn1 Cr1'
_cell_length_a 3.310
_cell_length_b 3.310
_cell_length_c 8.974
_cell_angle_alpha 79.37
_cell_angle_beta 79.37
_cell_angle_gamma 60.00
_space_group_name_H-M_alt 'P 1'
_space_group_IT_number 1
loop_
_space_group_symop_operation_xyz
'x,y,z'
loop_
_atom_site_label
_atom_site_type_symbol
_atom_site_fract_x
_atom_site_fract_y
_atom_site_fract_z
Cr1 Cr 0.000 0.000 0.000
Tl1 Tl 0.250 0.250 0.249
Tl2 Tl 0.750 0.750 0.751
Zn1 Zn 0.500 0.500 0.500
# Crystal system ... trigonal



b) # PBEsol Tl2ZnCr, optimized geometry
data_Tl2ZnCr
_chemical_formula_sum 'Tl2 Zn1 Cr1'
_cell_length_a 4.195
_cell_length_b 4.195
_cell_length_c 5.426
_cell_angle_alpha 112.74
_cell_angle_beta 112.74
_cell_angle_gamma 90.00
_space_group_name_H-M_alt 'P 1'
_space_group_IT_number 1
loop_
_space_group_symop_operation_xyz
'x,y,z'
loop_
_atom_site_label
_atom_site_type_symbol
_atom_site_fract_x
_atom_site_fract_y
_atom_site_fract_z
Cr1 Cr 0.250 0.750 0.500
Tl1 Tl 0.000 0.000 0.000
Tl2 Tl 0.750 0.250 0.500
Zn1 Zn 0.500 0.500 0.000
# Crystal system ... tetragonal



c) # PBEsol Tl2ZnCr, optimized geometry
data_Tl2ZnCr
_chemical_formula_sum 'Tl2 Zn1 Cr1'
_cell_length_a 3.112
_cell_length_b 4.636
_cell_length_c 6.368
_cell_angle_alpha 111.51
_cell_angle_beta 104.14
_cell_angle_gamma 90.00
_space_group_name_H-M_alt 'P 1'
_space_group_IT_number 1
loop_
_space_group_symop_operation_xyz
'x,y,z'
loop_
_atom_site_label
_atom_site_type_symbol
_atom_site_fract_x
_atom_site_fract_y
_atom_site_fract_z
Cr1 Cr 0.240 0.740 0.480
Tl1 Tl 0.961 0.962 0.923
Tl2 Tl 0.743 0.243 0.487
Zn1 Zn 0.555 0.555 0.110
# Crystal system ... monoclinic



c) takes first place; second place is 0.066 eV/atom up.



a) # PBEsol ZrTlCr2, optimized geometry
data_ZrTlCr2
_chemical_formula_sum 'Zr1 Tl1 Cr2'
_cell_length_a 3.271
_cell_length_b 3.271
_cell_length_c 6.391
_cell_angle_alpha 90.00
_cell_angle_beta 90.00
_cell_angle_gamma 90.00
_space_group_name_H-M_alt 'P 1'
_space_group_IT_number 1
loop_
_space_group_symop_operation_xyz
'x,y,z'
loop_
_atom_site_label
_atom_site_type_symbol
_atom_site_fract_x
_atom_site_fract_y
_atom_site_fract_z
Cr1 Cr 0.000 0.000 0.743
Cr2 Cr 0.000 0.000 0.257
Tl1 Tl 0.500 0.500 0.000
Zr1 Zr 0.500 0.500 0.500
# Crystal system ... tetragonal



b) # PBEsol ZrTlCr2, optimized geometry
data_ZrTlCr2
_chemical_formula_sum 'Zr1 Tl1 Cr2'
_cell_length_a 3.932
_cell_length_b 3.932
_cell_length_c 5.252
_cell_angle_alpha 111.98
_cell_angle_beta 111.98
_cell_angle_gamma 90.00
_space_group_name_H-M_alt 'P 1'
_space_group_IT_number 1
loop_
_space_group_symop_operation_xyz
'x,y,z'
loop_
_atom_site_label
_atom_site_type_symbol
_atom_site_fract_x
_atom_site_fract_y
_atom_site_fract_z
Cr1 Cr 0.000 0.000 0.000
Cr2 Cr 0.750 0.250 0.500
Tl1 Tl 0.500 0.500 0.000
Zr1 Zr 0.250 0.750 0.500
# Crystal system ... tetragonal



a) takes first place; second place is 0.005 eV/atom up.



a) # PBEsol Zr2TlCr, optimized geometry
data_Zr2TlCr
_chemical_formula_sum 'Zr2 Tl1 Cr1'
_cell_length_a 4.150
_cell_length_b 4.150
_cell_length_c 5.420
_cell_angle_alpha 112.51
_cell_angle_beta 112.51
_cell_angle_gamma 90.00
_space_group_name_H-M_alt 'P 1'
_space_group_IT_number 1
loop_
_space_group_symop_operation_xyz
'x,y,z'
loop_
_atom_site_label
_atom_site_type_symbol
_atom_site_fract_x
_atom_site_fract_y
_atom_site_fract_z
Cr1 Cr 0.500 0.500 0.000
Tl1 Tl 0.250 0.750 0.500
Zr1 Zr 0.000 0.000 0.000
Zr2 Zr 0.750 0.250 0.500
# Crystal system ... tetragonal



b) # PBEsol Zr2TlCr, optimized geometry
data_Zr2TlCr
_chemical_formula_sum 'Zr2 Tl1 Cr1'
_cell_length_a 4.762
_cell_length_b 4.762
_cell_length_c 4.762
_cell_angle_alpha 60.00
_cell_angle_beta 60.00
_cell_angle_gamma 60.00
_space_group_name_H-M_alt 'P 1'
_space_group_IT_number 1
loop_
_space_group_symop_operation_xyz
'x,y,z'
loop_
_atom_site_label
_atom_site_type_symbol
_atom_site_fract_x
_atom_site_fract_y
_atom_site_fract_z
Cr1 Cr 0.000 0.000 0.000
Tl1 Tl 0.500 0.500 0.500
Zr1 Zr 0.750 0.750 0.750
Zr2 Zr 0.250 0.250 0.250
# Crystal system ... cubic



c) # PBEsol Zr2TlCr, optimized geometry
data_Zr2TlCr
_chemical_formula_sum 'Zr2 Tl1 Cr1'
_cell_length_a 4.779
_cell_length_b 4.779
_cell_length_c 4.779
_cell_angle_alpha 60.00
_cell_angle_beta 60.00
_cell_angle_gamma 60.00
_space_group_name_H-M_alt 'P 1'
_space_group_IT_number 1
loop_
_space_group_symop_operation_xyz
'x,y,z'
loop_
_atom_site_label
_atom_site_type_symbol
_atom_site_fract_x
_atom_site_fract_y
_atom_site_fract_z
Cr1 Cr 0.500 0.500 0.500
Tl1 Tl 0.750 0.750 0.750
Zr1 Zr 0.000 0.000 0.000
Zr2 Zr 0.250 0.250 0.250
# Crystal system ... cubic



a) takes first place; second place is 0.019 eV/atom up.



a) # PBEsol Cr3W4, optimized geometry
data_Cr3W4
_chemical_formula_sum 'Cr3 W4'
_cell_length_a 4.767
_cell_length_b 4.767
_cell_length_c 4.942
_cell_angle_alpha 90.00
_cell_angle_beta 90.00
_cell_angle_gamma 120.00
_space_group_name_H-M_alt 'P 1'
_space_group_IT_number 1
loop_
_space_group_symop_operation_xyz
'x,y,z'
loop_
_atom_site_label
_atom_site_type_symbol
_atom_site_fract_x
_atom_site_fract_y
_atom_site_fract_z
Cr1 Cr 0.000 0.500 0.000
Cr2 Cr 0.500 0.000 0.000
Cr3 Cr 0.500 0.500 0.000
W1 W 0.000 0.000 0.749
W2 W 0.000 0.000 0.251
W3 W 0.333 0.667 0.500
W4 W 0.667 0.333 0.500
# Crystal system ... hexagonal



b) # PBEsol Cr3W4, optimized geometry
data_Cr3W4
_chemical_formula_sum 'Cr3 W4'
_cell_length_a 3.028
_cell_length_b 3.028
_cell_length_c 10.790
_cell_angle_alpha 98.07
_cell_angle_beta 98.07
_cell_angle_gamma 90.00
_space_group_name_H-M_alt 'P 1'
_space_group_IT_number 1
loop_
_space_group_symop_operation_xyz
'x,y,z'
loop_
_atom_site_label
_atom_site_type_symbol
_atom_site_fract_x
_atom_site_fract_y
_atom_site_fract_z
Cr1 Cr 0.000 0.000 0.000
Cr2 Cr 0.283 0.283 0.567
Cr3 Cr 0.717 0.717 0.433
W1 W 0.148 0.148 0.296
W2 W 0.430 0.430 0.860
W3 W 0.570 0.570 0.140
W4 W 0.852 0.852 0.704
# Crystal system ... tetragonal



a) takes first place; second place is 0.012 eV/atom up.